Computed, not measured: a relaxed structure of HoThCo10 at the GGA-PBE level of DFT.

Output
ρ (g/cm3): 9.797
DFT formation energy (eV/atom): -0.130
N(E_F) (states/eV/f.u.): 17.97
Calculated volume (A^3/atom): 13.93
Crystal system: orthorhombic
Electronic total energy (eV per atom): -7.05

abc: 3.9761 4.9153 8.5541
angles: 90.00 90.00 90.00
With the nearest neighbours (Å) after each atom.
Sites, in units of the cell vectors:
Co (0.5000, 0.7569, 0.7572)  8 Co 2.39-2.53
Co (0.5000, 0.7569, 0.2428)  8 Co 2.39-2.53
Co (0.5000, 0.5000, 0.0000)  8 Co 2.43-2.47
Co (0.5000, 0.0000, 0.5000)  8 Co 2.45-2.50
Co (0.0000, 0.0000, 0.6670)  6 Co 2.44-2.45
Co (0.0000, 0.5000, 0.1714)  6 Co 2.43-2.47
Co (0.5000, 0.2431, 0.2428)  8 Co 2.39-2.53
Co (0.0000, 0.0000, 0.3330)  6 Co 2.44-2.45
Co (0.5000, 0.2431, 0.7572)  8 Co 2.39-2.53
Co (0.0000, 0.5000, 0.8286)  6 Co 2.43-2.47
Ho (0.0000, 0.0000, 0.0000)  18 Co 2.85-3.16
Th (0.0000, 0.5000, 0.5000)  6 Co 2.81-2.84